{"formula": "BiPb", "functional": "PBE-GGA", "state": "relaxed", "crystal_system": "tetragonal", "formation_energy_ev_per_fu": 0.1, "energy_ev_per_atom": -3.754, "cell": [[-11.0677, 3.0186, 5.3231], [-5.3495, -10.1149, -5.3866], [0.7875, -1.8458, 2.6840]], "species": ["Pb", "Pb", "Pb", "Pb", "Pb", "Pb", "Pb", "Pb", "Bi", "Bi", "Bi", "Bi", "Bi", "Bi", "Bi", "Bi"], "fractional_positions": [[0.3930, 0.8616, 0.0000], [0.8616, 0.6070, 0.0000], [0.8930, 0.3616, 0.5000], [0.6070, 0.1384, 0.0000], [0.6384, 0.8930, 0.5000], [0.3616, 0.1070, 0.5000], [0.1384, 0.3930, 0.0000], [0.1070, 0.6384, 0.5000], [0.6028, 0.6504, 0.0000], [0.8496, 0.1028, 0.5000], [0.8972, 0.8496, 0.5000], [0.3972, 0.3496, 0.0000], [0.6504, 0.3972, 0.0000], [0.1504, 0.8972, 0.5000], [0.3496, 0.6028, 0.0000], [0.1028, 0.1504, 0.5000]]}